No. 1
The following is a DFT calculation (PBE) of a relaxed Be4MoPt crystal.

Unit cell a=4.451 b=4.451 c=4.451 alpha=60.00 beta=60.00 gamma=60.00
Atoms (fractional coordinates):
1 Be 0.379 0.379 0.379
2 Be 0.379 0.379 0.863
3 Be 0.379 0.863 0.379
4 Be 0.863 0.379 0.379
5 Mo 0.750 0.750 0.750
6 Pt 0.000 0.000 0.000

Results
Uncorrected energy: -5.548 eV/atom
V: 10.39 Å³ per atom
Energy of formation from the pure elements: -1.511 eV per formula unit
Symmetry: F-43m, No. 216

No. 2
The following is a DFT calculation (PBE) of a relaxed Be2MoPt crystal.

Unit cell a=4.735 b=4.735 c=4.735 alpha=136.69 beta=136.69 gamma=62.92
Atoms (fractional coordinates):
1 Be 0.000 0.000 0.000
2 Be 0.750 0.250 0.500
3 Mo 0.250 0.750 0.500
4 Pt 0.500 0.500 0.000

Results
Energy relative to the lowest polymorph listed for this composition: 243 meV per atom
Uncorrected energy: -6.186 eV/atom
V: 12.33 Å³ per atom
Energy of formation from the pure elements: -0.418 eV per formula unit
Symmetry: I-4m2, No. 119

No. 3
The following is a DFT calculation (PBE) of a relaxed BeMo2Pt crystal.

Unit cell a=3.155 b=3.155 c=5.761 alpha=90.00 beta=90.00 gamma=90.00
Atoms (fractional coordinates):
1 Be 0.000 0.000 0.000
2 Mo 0.000 0.000 0.481
3 Mo 0.500 0.500 0.248
4 Pt 0.500 0.500 0.791

Results
Uncorrected energy: -7.978 eV/atom
V: 14.34 Å³ per atom
Energy of formation from the pure elements: -0.483 eV per formula unit
Symmetry: P4mm, No. 99

No. 4
The following is a DFT calculation (PBE) of a relaxed Be3MoPt crystal.

Unit cell a=4.139 b=4.139 c=4.139 alpha=90.00 beta=90.00 gamma=90.00
Atoms (fractional coordinates):
1 Be 0.000 0.000 0.500
2 Be 0.000 0.500 0.000
3 Be 0.500 0.000 0.000
4 Mo 0.500 0.500 0.500
5 Pt 0.000 0.000 0.000

Results
Energy relative to the lowest polymorph listed for this composition: 0 meV per atom
Uncorrected energy: -5.088 eV/atom
V: 14.19 Å³ per atom
Energy of formation from the pure elements: 2.613 eV per formula unit
Symmetry: Pm-3m, No. 221

No. 5
The following is a DFT calculation (PBE) of a relaxed BeMo3Pt crystal.

Unit cell a=4.767 b=4.767 c=4.767 alpha=90.00 beta=90.00 gamma=90.00
Atoms (fractional coordinates):
1 Be 0.000 0.000 0.000
2 Mo 0.000 0.500 0.500
3 Mo 0.500 0.000 0.500
4 Mo 0.500 0.500 0.000
5 Pt 0.500 0.500 0.500

Results
Energy relative to the lowest polymorph listed for this composition: 1586 meV per atom
Uncorrected energy: -6.393 eV/atom
V: 21.66 Å³ per atom
Energy of formation from the pure elements: 10.297 eV per formula unit
Symmetry: Pm-3m, No. 221

No. 6
The following is a DFT calculation (PBE) of a relaxed Rb2BeMoPt crystal.

Unit cell a=6.484 b=6.484 c=4.285 alpha=90.00 beta=90.00 gamma=90.00
Atoms (fractional coordinates):
1 Rb 0.000 0.500 0.000
2 Rb 0.500 0.000 0.000
3 Be 0.000 0.000 0.000
4 Mo 0.500 0.500 0.500
5 Pt 0.000 0.000 0.500

Results
Uncorrected energy: -3.347 eV/atom
V: 36.03 Å³ per atom
Energy of formation from the pure elements: 5.797 eV per formula unit
Symmetry: P4/mmm, No. 123

No. 7
The following is a DFT calculation (PBE) of a relaxed BeVMoPt crystal.

Unit cell a=4.227 b=4.227 c=4.227 alpha=60.00 beta=60.00 gamma=60.00
Atoms (fractional coordinates):
1 Be 0.000 0.000 0.000
2 V 0.500 0.500 0.500
3 Mo 0.250 0.250 0.250
4 Pt 0.750 0.750 0.750

Results
Uncorrected energy: -7.645 eV/atom
V: 13.35 Å³ per atom
Energy of formation from the pure elements: -0.864 eV per formula unit
Symmetry: F-43m, No. 216

No. 8
The following is a DFT calculation (PBE) of a relaxed PuBe17Mo crystal.

Unit cell a=5.660 b=5.660 c=5.660 alpha=82.78 beta=82.78 gamma=82.78
Atoms (fractional coordinates):
1 Pu 0.000 0.000 0.000
2 Be 0.047 0.342 0.624
3 Be 0.047 0.624 0.342
4 Be 0.184 0.679 0.679
5 Be 0.246 0.246 0.246
6 Be 0.341 0.341 0.837
7 Be 0.341 0.837 0.341
8 Be 0.342 0.047 0.624
9 Be 0.342 0.624 0.047
10 Be 0.439 0.439 0.439
11 Be 0.500 0.990 0.990
12 Be 0.624 0.047 0.342
13 Be 0.624 0.342 0.047
14 Be 0.679 0.184 0.679
15 Be 0.679 0.679 0.184
16 Be 0.837 0.341 0.341
17 Be 0.990 0.500 0.990
18 Be 0.990 0.990 0.500
19 Mo 0.670 0.670 0.670

Results
Uncorrected energy: -4.716 eV/atom
V: 9.33 Å³ per atom
Energy of formation from the pure elements: -1.095 eV per formula unit
Symmetry: R3m, No. 160

No. 9
The following is a DFT calculation (PBE) of a relaxed PuBe4Mo crystal.

Unit cell a=4.698 b=4.698 c=4.698 alpha=60.00 beta=60.00 gamma=60.00
Atoms (fractional coordinates):
1 Pu 0.000 0.000 0.000
2 Be 0.377 0.377 0.377
3 Be 0.377 0.377 0.870
4 Be 0.377 0.870 0.377
5 Be 0.870 0.377 0.377
6 Mo 0.750 0.750 0.750

Results
Uncorrected energy: -6.552 eV/atom
V: 12.22 Å³ per atom
Energy of formation from the pure elements: 0.758 eV per formula unit
Symmetry: F-43m, No. 216

No. 10
The following is a DFT calculation (PBE) of a relaxed Rb3BeMo crystal.

Unit cell a=6.606 b=6.606 c=6.606 alpha=90.00 beta=90.00 gamma=90.00
Atoms (fractional coordinates):
1 Rb 0.000 0.000 0.500
2 Rb 0.000 0.500 0.000
3 Rb 0.500 0.000 0.000
4 Be 0.000 0.000 0.000
5 Mo 0.500 0.500 0.500

Results
Energy relative to the lowest polymorph listed for this composition: 0 meV per atom
Uncorrected energy: -1.951 eV/atom
V: 57.66 Å³ per atom
Energy of formation from the pure elements: 7.707 eV per formula unit
Symmetry: Pm-3m, No. 221

No. 11
The following is a DFT calculation (PBE) of a relaxed RbBeMo2 crystal.

Unit cell a=9.792 b=9.792 c=9.792 alpha=153.58 beta=153.58 gamma=37.71
Atoms (fractional coordinates):
1 Rb 0.000 0.000 0.000
2 Rb 0.750 0.250 0.500
3 Be 0.250 0.750 0.500
4 Be 0.500 0.500 0.000
5 Mo 0.284 0.125 0.659
6 Mo 0.375 0.716 0.841
7 Mo 0.466 0.625 0.341
8 Mo 0.875 0.534 0.159

Results
Uncorrected energy: -4.886 eV/atom
V: 23.20 Å³ per atom
Energy of formation from the pure elements: 6.813 eV per formula unit
Symmetry: I-42d, No. 122

No. 12
The following is a DFT calculation (PBE) of a relaxed RbBe3Mo crystal.

Unit cell a=4.407 b=4.407 c=4.407 alpha=90.00 beta=90.00 gamma=90.00
Atoms (fractional coordinates):
1 Rb 0.000 0.000 0.000
2 Be 0.000 0.000 0.500
3 Be 0.000 0.500 0.000
4 Be 0.500 0.000 0.000
5 Mo 0.500 0.500 0.500

Results
Energy relative to the lowest polymorph listed for this composition: 1589 meV per atom
Uncorrected energy: -1.724 eV/atom
V: 17.11 Å³ per atom
Energy of formation from the pure elements: 14.357 eV per formula unit
Symmetry: Pm-3m, No. 221

> The lowest energy of formation from the pure elements belongs to which entry?

Be4MoPt

> Which of these has the highest V?

Rb3BeMo

> Which value of energy of formation from the pure elements does entry 7 give?

-0.864 eV per formula unit

> Which of these has the lowest V?

PuBe17Mo